No. 1
3
Lattice="4.8803 0.0000 0.0000 2.4401 4.2264 0.0000 2.4401 1.4088 3.9847" Properties=species:S:1:pos:R:3 comment="LaAlPt PBE optimized geometry" ef_ev_per_atom=-0.06 vol_a3_per_cell=82.2 magnetic_moment_mub_per_cell=0.0 pbc="T T T"
Al 4.8803 2.8176 1.9924
Pt 0.0000 0.0000 0.0000
La 7.3204 4.2264 2.9885


No. 2
12
Lattice="5.4645 0.0000 0.0000 0.0000 6.5637 -0.0645 0.0000 -1.3817 6.4170" Properties=species:S:1:pos:R:3 comment="LaAl2Pt3 PBE optimized geometry" ef_ev_per_atom=-1.09 vol_a3_per_cell=229.7 magnetic_moment_mub_per_cell=0.0 pbc="T T T"
La 1.3661 1.6608 2.0359
La 4.0984 3.5212 4.3166
Al 2.7323 4.8887 1.3019
Al 0.0000 4.8887 1.3019
Al 0.0000 0.2933 5.0506
Al 2.7323 0.2933 5.0506
Pt 4.0984 2.9164 0.7351
Pt 4.0984 0.1343 3.0047
Pt 1.3661 2.2656 5.6174
Pt 4.0984 0.2249 0.2757
Pt 1.3661 4.9571 6.0768
Pt 1.3661 5.0477 3.3478


No. 3
32
Lattice="5.8905 0.0000 0.0000 0.0000 8.2877 0.0000 0.0000 0.0000 15.5653" Properties=species:S:1:pos:R:3 comment="La3Al3Pt2 PBE optimized geometry" ef_ev_per_atom=-0.85 vol_a3_per_cell=759.9 magnetic_moment_mub_per_cell=0.0 pbc="T T T"
La 0.6547 3.8667 6.0753
La 3.6000 0.2772 9.4901
La 5.2358 4.4211 13.8579
La 2.2905 8.0105 1.7074
La 5.2358 4.4211 9.4901
La 2.2905 8.0105 6.0753
La 0.6547 3.8667 1.7074
La 3.6000 0.2772 13.8579
La 3.5556 2.7173 3.8913
La 0.6103 1.4265 11.6740
La 2.3349 5.5704 11.6740
La 5.2801 6.8612 3.8913
Al 0.5239 1.4709 3.8913
Al 3.4692 2.6729 11.6740
Al 5.3666 6.8168 11.6740
Al 2.4213 5.6148 3.8913
Al 3.5368 2.7523 7.2340
Al 0.5916 1.3916 8.3314
Al 2.3537 5.5354 15.0166
Al 5.2989 6.8962 0.5487
Al 2.3537 5.5354 8.3314
Al 5.2989 6.8962 7.2340
Al 3.5368 2.7523 0.5487
Al 0.5916 1.3916 15.0166
Pt 5.1137 0.9991 6.1600
Pt 2.1685 3.1447 9.4053
Pt 0.7768 7.2886 13.9427
Pt 3.7220 5.1430 1.6226
Pt 0.7768 7.2886 9.4053
Pt 3.7220 5.1430 6.1600
Pt 5.1137 0.9991 1.6226
Pt 2.1685 3.1447 13.9427


No. 4
11
Lattice="-4.2258 -3.4296 4.0555 0.9493 -3.4864 -5.7455 5.9566 0.8512 3.1403" Properties=species:S:1:pos:R:3 comment="La3Al4Pt4 PBE optimized geometry" polymorph_energy_ev_per_atom=0.1109 ef_ev_per_atom=-1.01 vol_a3_per_cell=240.7 magnetic_moment_mub_per_cell=0.0 pbc="T T T"
La -1.6383 -3.4580 -0.8450
La 0.8654 -1.2892 3.5979
La 3.4529 -1.3176 -1.3026
Al 0.2477 -0.9097 -1.4992
Al 1.5543 0.2221 0.8194
Al -1.1027 -0.8949 1.0582
Al 1.9807 -4.4822 1.0718
Pt 0.5928 -2.1769 -3.5875
Pt -2.6387 -2.1415 2.5323
Pt 3.7193 0.5315 1.9608
Pt 1.0066 -2.2778 0.5447


No. 5
21
Lattice="-1.6378 3.8617 -0.4674 -9.0117 -4.0325 -1.7389 2.7412 2.2962 9.3653" Properties=species:S:1:pos:R:3 comment="La2Al12Pt7 PBE optimized geometry" ef_ev_per_atom=-1.02 vol_a3_per_cell=367.3 magnetic_moment_mub_per_cell=0.0 pbc="T T T"
La -0.8189 1.9309 -0.2337
La -5.0941 -1.9229 1.9625
Al -7.4750 -0.3906 3.9093
Al -6.8216 -0.6754 -0.7331
Al -3.4424 1.0898 2.0102
Al -0.8686 2.7579 6.7730
Al -3.6841 1.4541 5.8667
Al -1.4332 2.1405 3.6508
Al 1.0001 0.9933 4.7019
Al -1.5797 0.3154 8.1406
Al -2.9496 -0.7487 4.1492
Al -5.2640 -1.5837 5.3607
Al -7.7343 -3.2509 0.2428
Al -2.2839 -0.9343 0.2840
Pt -1.1764 0.1866 5.6639
Pt 1.3921 1.4591 7.1769
Pt -3.7816 -0.7117 7.3703
Pt -1.1398 -0.1875 2.4445
Pt -5.1490 0.6031 3.9692
Pt -8.1273 -0.9693 1.4140
Pt -4.4627 0.3900 -0.1968


No. 6
3
Lattice="4.4396 0.0000 0.0000 -2.2198 3.8448 0.0000 0.0000 0.0000 4.1083" Properties=species:S:1:pos:R:3 comment="LaAlPt PBE optimized geometry" ef_ev_per_atom=-0.98 vol_a3_per_cell=70.1 magnetic_moment_mub_per_cell=0.0 pbc="T T T"
Al 0.0000 0.0000 3.4228
Pt 0.0000 2.5632 3.4248
La 2.2198 1.2816 1.3690


No. 7
4
Lattice="-3.2045 -0.2862 1.8819 -0.2341 -3.6127 -0.9480 3.5522 -5.4806 5.2152" Properties=species:S:1:pos:R:3 comment="La2AlPt PBE optimized geometry" ef_ev_per_atom=-0.70 vol_a3_per_cell=104.2 magnetic_moment_mub_per_cell=0.0 pbc="T T T"
Al 0.8863 -6.9631 4.1414
Pt -0.7727 -2.4164 2.0077
La -0.1658 -3.6436 -0.8364
La 1.5908 -4.5158 2.0220


No. 8
8
Lattice="-2.8757 2.7346 -0.0080 -5.6955 -3.1104 -0.0987 -2.9240 -0.1786 5.7915" Properties=species:S:1:pos:R:3 comment="LaAl2Pt5 PBE optimized geometry" ef_ev_per_atom=-0.97 vol_a3_per_cell=142.9 magnetic_moment_mub_per_cell=0.0 pbc="T T T"
La 0.0000 0.0000 0.0000
Al -8.5714 -0.3633 4.2139
Al -2.9239 -0.1911 1.4709
Pt -4.3098 -1.6445 2.8464
Pt -5.4662 0.0128 0.8471
Pt -6.0290 -0.5673 4.8376
Pt -7.1298 -1.7317 2.4981
Pt -4.3655 1.1773 3.1866


No. 9
8
Lattice="-3.4124 1.8880 -1.7354 -0.8129 -0.4712 -4.1638 -6.4300 -6.9324 -0.1480" Properties=species:S:1:pos:R:3 comment="LaAl4Pt2Rh PBE optimized geometry" ef_ev_per_atom=-0.96 vol_a3_per_cell=144.1 magnetic_moment_mub_per_cell=0.0 pbc="T T T"
La 0.0000 0.0000 0.0000
Al -6.7356 -4.8340 -2.5138
Al -6.2443 -1.5604 -5.1681
Al -4.4110 -3.9552 -0.8792
Al -3.9196 -0.6816 -3.5335
Pt -7.7084 -3.7193 -4.6379
Pt -2.9469 -1.7963 -1.4093
Rh -5.3276 -2.7578 -3.0236


No. 10
5
Lattice="5.6959 0.0000 0.0000 0.0000 4.3315 0.0000 0.0000 0.0000 5.6959" Properties=species:S:1:pos:R:3 comment="La2AlPtRh PBE optimized geometry" ef_ev_per_atom=0.03 vol_a3_per_cell=140.5 magnetic_moment_mub_per_cell=0.0 pbc="T T T"
Rh 0.0000 2.1657 0.0000
Al 0.0000 0.0000 0.0000
Pt 2.8480 2.1657 2.8480
La 0.0000 0.0000 2.8480
La 2.8480 0.0000 0.0000


No. 11
5
Lattice="-3.9828 -0.1038 2.4727 -1.1862 -4.9879 -2.1199 2.2627 -2.0505 3.5585" Properties=species:S:1:pos:R:3 comment="LaAl2RuPt PBE optimized geometry" ef_ev_per_atom=0.09 vol_a3_per_cell=122.0 magnetic_moment_mub_per_cell=1.2 pbc="T T T"
Ru -1.4531 -3.5711 1.9556
Al 1.1314 -1.0253 1.7793
Al -1.9914 -0.0519 1.2363
Pt 0.0000 0.0000 0.0000
La -0.5931 -2.4939 -1.0600


No. 12
10
Lattice="-3.6496 0.8349 2.2551 1.7194 -1.9595 3.5081 3.9210 8.9012 3.0500" Properties=species:S:1:pos:R:3 comment="La2Al4RuPt3 PBE optimized geometry" ef_ev_per_atom=-1.02 vol_a3_per_cell=194.7 magnetic_moment_mub_per_cell=0.0 pbc="T T T"
La -0.8058 2.7308 1.9202
La 3.7617 5.6081 4.0114
Al -0.9651 -0.5623 2.8816
Al 0.0000 0.0000 0.0000
Al 0.6084 5.9412 3.0203
Al 2.3475 2.3977 2.9113
Ru 0.9954 3.8883 4.4066
Pt 1.9605 4.4506 1.5250
Pt 1.5829 8.1533 3.7783
Pt 1.3730 0.1856 2.1533


Question: Number 1 is which compound?
Answer: LaAlPt